(1)
MgZrSb2 | GGA-PBEsol | relaxed

Summary:
Raw formation energy ... -146.9 meV per atom
VASP energy ... -20.5 eV per formula unit
Volume ... 196 Å³ per cell

a b c (Å): 3.9920 4.7669 10.2931
angles (deg): 90.00 90.00 90.00
With the nearest neighbours (Å) after each atom.
Space group Cmm2 (No. 35)
Inequivalent atoms, fractional coordinates:
Mg: 0.0000 0.0000 0.0000 (multiplicity 2)  4 Sb 3.01-3.28, 4 Mg 3.11, 2 Zr 3.13
Zr: 0.0000 0.5000 0.2342 (multiplicity 2)  4 Sb 3.00-3.27, 4 Zr 3.11, 2 Mg 3.13
Sb: 0.0000 0.0000 0.4518 (multiplicity 2)  4 Zr 3.00-3.27, 4 Sb 3.11
Sb: 0.0000 0.5000 0.7810 (multiplicity 2)  4 Mg 3.01-3.28, 4 Sb 3.11

---

(2)
Mg2ZrSb | GGA-PBEsol | relaxed

Summary:
Raw formation energy ... -116.1 meV per atom
VASP energy ... -17.5 eV per formula unit
Volume ... 184 Å³ per cell

a b c (Å): 3.9101 4.9681 9.4830
angles (deg): 90.00 90.00 90.00
With the nearest neighbours (Å) after each atom.
Space group Cmm2 (No. 35)
Inequivalent atoms, fractional coordinates:
Mg: 0.0000 0.0000 0.0000 (multiplicity 2)  4 Zr 3.09-3.45, 8 Mg 3.09-3.45
Mg: 0.0000 0.5000 0.2520 (multiplicity 2)  8 Mg 3.09-3.45, 2 Sb 3.21
Zr: 0.0000 0.5000 0.7481 (multiplicity 2)  2 Sb 2.92, 2 Mg 3.09, 4 Zr 3.16
Sb: 0.0000 0.0000 0.5200 (multiplicity 2)  2 Zr 2.92, 4 Sb 3.16, 2 Mg 3.21

---

(3)
Mg3Sc2 | GGA-PBEsol | relaxed

Summary:
VASP energy ... -18.3 eV per formula unit
Volume ... 347 Å³ per cell
Calculated formation energy ... 0.021 eV/atom

a b c (Å): 3.2097 3.2097 38.9427
angles (deg): 90.00 90.00 120.00
With the nearest neighbours (Å) after each atom.
Space group R-3m (No. 166, hexagonal axes)
Inequivalent atoms, fractional coordinates:
Mg: 0.0000 0.0000 0.0000 (multiplicity 3)  6 Sc 3.18, 6 Mg 3.21
Mg: 0.0000 0.0000 0.2000 (multiplicity 6)  9 Mg 3.19-3.21, 3 Sc 3.20
Sc: 0.0000 0.0000 0.3996 (multiplicity 6)  6 Mg 3.18-3.20, 6 Sc 3.21

---

(4)
Mg7Sc | GGA-PBEsol | relaxed

Summary:
VASP energy ... -18.5 eV per formula unit
Volume ... 729 Å³ per cell
Calculated formation energy ... 0.013 eV/atom

a b c (Å): 8.9998 8.9998 8.9998
angles (deg): 90.00 90.00 90.00
With the nearest neighbours (Å) after each atom.
Space group Fm-3m (No. 225)
Inequivalent atoms, fractional coordinates:
Mg: 0.0000 0.0000 0.0000 (multiplicity 4)  12 Mg 3.18
Mg: 0.0000 0.2500 0.2500 (multiplicity 24)  10 Mg 3.18, 2 Sc 3.18
Sc: 0.0000 0.0000 0.5000 (multiplicity 4)  12 Mg 3.18

---

(5)
Mg12Sc17 | GGA-PBEsol | relaxed

Summary:
VASP energy ... -131.5 eV per formula unit
Volume ... 1341 Å³ per cell
Calculated formation energy ... 0.050 eV/atom

a b c (Å): 11.0264 11.0264 11.0264
angles (deg): 90.00 90.00 90.00
With the nearest neighbours (Å) after each atom.
Space group I-43m (No. 217)
Inequivalent atoms, fractional coordinates:
Mg: 0.0908 0.0908 0.7213 (multiplicity 24)  3 Mg 2.83-2.93, 3 Sc 3.02-3.12
Sc: 0.0000 0.0000 0.0000 (multiplicity 2)  12 Mg 3.38, 4 Sc 3.40
Sc: 0.0427 0.3584 0.6416 (multiplicity 24)  5 Mg 3.02-3.28, 7 Sc 3.13-3.32
Sc: 0.1779 0.1779 0.1779 (multiplicity 8)  4 Sc 3.13-3.40, 6 Mg 3.31

---

(6)
Mg8Sc | GGA-PBEsol | relaxed

Summary:
VASP energy ... -20.4 eV per formula unit
Volume ... 405 Å³ per cell
Calculated formation energy ... -0.011 eV/atom

a b c (Å): 9.3744 9.3744 4.6108
angles (deg): 90.00 90.00 90.00
With the nearest neighbours (Å) after each atom.
Space group I4/mmm (No. 139)
Inequivalent atoms, fractional coordinates:
Mg: 0.0000 0.3336 0.0000 (multiplicity 8)  11 Mg 3.12-3.19, 1 Sc 3.13
Mg: 0.1669 0.1669 0.5000 (multiplicity 8)  10 Mg 3.12-3.19, 2 Sc 3.20
Sc: 0.0000 0.0000 0.0000 (multiplicity 2)  12 Mg 3.13-3.20

---

(7)
Mg2Sc3 | GGA-PBEsol | relaxed

Summary:
VASP energy ... -23.2 eV per formula unit
Volume ... 352 Å³ per cell
Calculated formation energy ... 0.019 eV/atom

a b c (Å): 3.2194 3.2194 39.1732
angles (deg): 90.00 90.00 120.00
With the nearest neighbours (Å) after each atom.
Space group R-3m (No. 166, hexagonal axes)
Inequivalent atoms, fractional coordinates:
Mg: 0.0000 0.0000 0.1002 (multiplicity 6)  6 Sc 3.20-3.23, 6 Mg 3.22
Sc: 0.0000 0.0000 0.3006 (multiplicity 6)  9 Sc 3.17-3.22, 3 Mg 3.23
Sc: 0.0000 0.0000 0.5000 (multiplicity 3)  6 Mg 3.20, 6 Sc 3.22

---

(8)
Mg3Sc4 | GGA-PBEsol | relaxed

Summary:
VASP energy ... -30.9 eV per formula unit
Volume ... 163 Å³ per cell
Calculated formation energy ... 0.089 eV/atom
Distance to the lowest polymorph of the same formula ... 121 meV per atom

a b c (Å): 5.7162 5.7162 5.7623
angles (deg): 90.00 90.00 120.00
With the nearest neighbours (Å) after each atom.
Space group P6/mmm (No. 191)
Inequivalent atoms, fractional coordinates:
Mg: 0.0000 0.5000 0.0000 (multiplicity 3)  4 Mg 2.86
Sc: 0.0000 0.0000 0.2620 (multiplicity 2)  2 Sc 2.74-3.02
Sc: 0.3333 0.6667 0.5000 (multiplicity 2)  9 Sc 3.30-3.57, 6 Mg 3.32

---

(9)
Mg3Sc4 | GGA-PBEsol | relaxed

Summary:
VASP energy ... -31.8 eV per formula unit
Volume ... 324 Å³ per cell
Calculated formation energy ... -0.032 eV/atom
Distance to the lowest polymorph of the same formula ... 0 meV per atom

a b c (Å): 3.2091 3.2091 31.4772
angles (deg): 90.00 90.00 90.00
With the nearest neighbours (Å) after each atom.
Space group I4/mmm (No. 139)
Inequivalent atoms, fractional coordinates:
Mg: 0.0000 0.0000 0.0000 (multiplicity 2)  4 Mg 3.21, 8 Sc 3.21
Mg: 0.0000 0.0000 0.2846 (multiplicity 4)  8 Mg 3.15-3.21, 4 Sc 3.21
Sc: 0.0000 0.0000 0.1431 (multiplicity 4)  8 Sc 3.18-3.21, 4 Mg 3.21
Sc: 0.0000 0.0000 0.4278 (multiplicity 4)  8 Sc 3.18-3.21, 4 Mg 3.21

---

(10)
Mg4Sc | GGA-PBEsol | relaxed

Summary:
VASP energy ... -13.4 eV per formula unit
Volume ... 342 Å³ per cell
Calculated formation energy ... 0.020 eV/atom
Distance to the lowest polymorph of the same formula ... 0 meV per atom

a b c (Å): 3.1729 3.1729 39.2752
angles (deg): 90.00 90.00 120.00
With the nearest neighbours (Å) after each atom.
Space group R-3m (No. 166, hexagonal axes)
Inequivalent atoms, fractional coordinates:
Mg: 0.0000 0.0000 0.0998 (multiplicity 6)  9 Mg 3.17-3.19, 3 Sc 3.20
Mg: 0.0000 0.0000 0.3001 (multiplicity 6)  12 Mg 3.17-3.19
Sc: 0.0000 0.0000 0.5000 (multiplicity 3)  6 Sc 3.17, 6 Mg 3.20

---

(11)
Mg4Sc | GGA-PBEsol | relaxed

Summary:
VASP energy ... -13.3 eV per formula unit
Volume ... 226 Å³ per cell
Calculated formation energy ... 0.026 eV/atom
Distance to the lowest polymorph of the same formula ... 6 meV per atom

a b c (Å): 6.9247 6.9247 4.7170
angles (deg): 90.00 90.00 90.00
With the nearest neighbours (Å) after each atom.
Space group I4/m (No. 87)
Inequivalent atoms, fractional coordinates:
Mg: 0.0892 0.2985 0.0000 (multiplicity 8)  9 Mg 3.05-3.31, 3 Sc 3.17-3.20
Sc: 0.0000 0.0000 0.5000 (multiplicity 2)  12 Mg 3.17-3.20

---

(12)
Mg3Sc5 | GGA-PBEsol | relaxed

Summary:
VASP energy ... -38.0 eV per formula unit
Volume ... 369 Å³ per cell
Calculated formation energy ... 0.023 eV/atom

a b c (Å): 7.9899 9.6024 4.8036
angles (deg): 90.00 90.00 90.00
With the nearest neighbours (Å) after each atom.
Space group Cmmm (No. 65)
Inequivalent atoms, fractional coordinates:
Mg: 0.0000 0.0000 0.0000 (multiplicity 2)  8 Sc 3.08-3.12
Mg: 0.0000 0.2589 0.5000 (multiplicity 4)  10 Sc 3.10-3.34, 2 Mg 3.46
Sc: 0.0000 0.5000 0.0000 (multiplicity 2)  8 Sc 3.12-3.17, 4 Mg 3.34
Sc: 0.2417 0.0000 0.5000 (multiplicity 4)  6 Mg 3.08-3.15, 6 Sc 3.17-3.40
Sc: 0.2500 0.2500 0.0000 (multiplicity 4)  6 Mg 3.12-3.13, 6 Sc 3.12-3.40

---

(13)
MgSc4 | GGA-PBEsol | relaxed

Summary:
VASP energy ... -27.9 eV per formula unit
Volume ... 235 Å³ per cell
Calculated formation energy ... 0.050 eV/atom

a b c (Å): 7.1063 7.1063 4.6460
angles (deg): 90.00 90.00 90.00
With the nearest neighbours (Å) after each atom.
Space group I4/m (No. 87)
Inequivalent atoms, fractional coordinates:
Mg: 0.0000 0.0000 0.0000 (multiplicity 2)  12 Sc 3.13-3.28
Sc: 0.1033 0.6917 0.5000 (multiplicity 8)  9 Sc 3.10-3.27, 3 Mg 3.13-3.28

---

(14)
Mg24Sc5 | GGA-PBEsol | relaxed

Summary:
VASP energy ... -74.4 eV per formula unit
Volume ... 1310 Å³ per cell
Calculated formation energy ... -0.005 eV/atom

a b c (Å): 10.9422 10.9422 10.9422
angles (deg): 90.00 90.00 90.00
With the nearest neighbours (Å) after each atom.
Space group I-43m (No. 217)
Inequivalent atoms, fractional coordinates:
Mg: 0.0381 0.3564 0.6436 (multiplicity 24)  11 Mg 2.94-3.29, 1 Sc 3.11
Mg: 0.0902 0.0902 0.7202 (multiplicity 24)  6 Mg 2.79-3.08
Sc: 0.0000 0.0000 0.0000 (multiplicity 2)  12 Mg 3.36, 4 Sc 3.48
Sc: 0.1835 0.1835 0.1835 (multiplicity 8)  9 Mg 3.11-3.33, 1 Sc 3.48

---

(15)
MgScSe3 | GGA-PBEsol | relaxed

Summary:
Raw formation energy ... -372.6 meV per atom
VASP energy ... -21.7 eV per formula unit
Volume ... 118 Å³ per cell

a b c (Å): 4.8984 4.8984 4.8984
angles (deg): 90.00 90.00 90.00
With the nearest neighbours (Å) after each atom.
Space group Pm-3m (No. 221)
Inequivalent atoms, fractional coordinates:
Mg: 0.0000 0.0000 0.0000 (multiplicity 1)  6 Se 2.45
Sc: 0.5000 0.5000 0.5000 (multiplicity 1)  12 Se 3.46
Se: 0.0000 0.0000 0.5000 (multiplicity 3)  2 Mg 2.45

---

(16)
MgScSe2 | GGA-PBEsol | relaxed

Summary:
Raw formation energy ... -1406.8 meV per atom
VASP energy ... -21.6 eV per formula unit
Volume ... 80 Å³ per cell

a b c (Å): 3.8288 3.8288 5.4820
angles (deg): 90.00 90.00 90.00
With the nearest neighbours (Å) after each atom.
Space group P4/mmm (No. 123)
Inequivalent atoms, fractional coordinates:
Mg: 0.0000 0.0000 0.0000 (multiplicity 1)  6 Se 2.71-2.74
Sc: 0.5000 0.5000 0.5000 (multiplicity 1)  6 Se 2.71-2.74
Se: 0.0000 0.0000 0.5000 (multiplicity 1)  4 Sc 2.71, 2 Mg 2.74
Se: 0.5000 0.5000 0.0000 (multiplicity 1)  4 Mg 2.71, 2 Sc 2.74

---

(17)
MgSc2Se | GGA-PBEsol | relaxed

Summary:
Raw formation energy ... -790.2 meV per atom
VASP energy ... -21.9 eV per formula unit
Volume ... 268 Å³ per cell
Distance to the lowest polymorph of the same formula ... 0 meV per atom

a b c (Å): 3.5880 3.5880 24.0412
angles (deg): 90.00 90.00 120.00
With the nearest neighbours (Å) after each atom.
Space group R-3m (No. 166, hexagonal axes)
Inequivalent atoms, fractional coordinates:
Mg: 0.0000 0.0000 0.0000 (multiplicity 3)  6 Sc 3.16
Sc: 0.0000 0.0000 0.2341 (multiplicity 6)  3 Se 2.63
Se: 0.0000 0.0000 0.5000 (multiplicity 3)  6 Sc 2.63

---

(18)
MgScSe2 | GGA-PBEsol | relaxed

Summary:
Raw formation energy ... -1401.7 meV per atom
VASP energy ... -21.6 eV per formula unit
Volume ... 240 Å³ per cell

a b c (Å): 3.7649 3.7649 19.5629
angles (deg): 90.00 90.00 120.00
With the nearest neighbours (Å) after each atom.
Space group R-3m (No. 166, hexagonal axes)
Inequivalent atoms, fractional coordinates:
Mg: 0.0000 0.0000 0.0000 (multiplicity 3)  6 Se 2.70
Sc: 0.0000 0.0000 0.5000 (multiplicity 3)  6 Se 2.73
Se: 0.0000 0.0000 0.2514 (multiplicity 6)  3 Mg 2.70, 3 Sc 2.73

---

(19)
Mg3ScSe | GGA-PBEsol | relaxed

Summary:
Raw formation energy ... 970.1 meV per atom
VASP energy ... -10.8 eV per formula unit
Volume ... 171 Å³ per cell

a b c (Å): 5.5475 5.5475 5.5475
angles (deg): 90.00 90.00 90.00
With the nearest neighbours (Å) after each atom.
Space group Pm-3m (No. 221)
Inequivalent atoms, fractional coordinates:
Mg: 0.0000 0.0000 0.5000 (multiplicity 3)  2 Sc 2.77
Sc: 0.0000 0.0000 0.0000 (multiplicity 1)  6 Mg 2.77
Se: 0.5000 0.5000 0.5000 (multiplicity 1)  12 Mg 3.92

---

(20)
MgSc2Se | GGA-PBEsol | relaxed

Summary:
Raw formation energy ... -27.3 meV per atom
VASP energy ... -18.9 eV per formula unit
Volume ... 341 Å³ per cell
Distance to the lowest polymorph of the same formula ... 763 meV per atom

a b c (Å): 6.9870 6.9870 6.9870
angles (deg): 90.00 90.00 90.00
With the nearest neighbours (Å) after each atom.
Space group F-43m (No. 216)
Inequivalent atoms, fractional coordinates:
Mg: 0.0000 0.0000 0.0000 (multiplicity 4)  4 Sc 3.03, 4 Se 3.03
Sc: 0.0000 0.0000 0.5000 (multiplicity 4)  4 Se 3.03, 4 Sc 3.03
Sc: 0.2500 0.2500 0.7500 (multiplicity 4)  4 Sc 3.03, 4 Mg 3.03
Se: 0.2500 0.2500 0.2500 (multiplicity 4)  4 Mg 3.03, 4 Sc 3.03